# 1
Material: NbBiAu2
Method: DFT, PBE
State: relaxed

Summary:
Total magnetization (μB per atom): 0.28
Calculated total energy (eV/cell): -19.49

a = 4.869 Å, b = 4.869 Å, c = 4.869 Å
α = 60.00°, β = 60.00°, γ = 60.00°
Each line ends with the local moment (μB).
Atoms (fractional coordinates):
Au: 0.000 0.000 0.000  0.04
Au: 0.750 0.750 0.750  0.02
Bi: 0.500 0.500 0.500  0.02
Nb: 0.250 0.250 0.250  0.84


# 2
Material: PmAgSeO
Method: DFT, PBE
State: relaxed

Summary:
Total magnetization (μB per atom): 0.00
Calculated total energy (eV/cell): -44.41

a = 4.331 Å, b = 5.664 Å, c = 6.710 Å
α = 90.00°, β = 90.00°, γ = 90.00°
Atoms (fractional coordinates):
Ag: 0.000 0.168 0.095
Ag: 0.000 0.832 0.595
O: 0.500 0.051 0.176
O: 0.500 0.949 0.676
Pm: 0.500 0.250 0.465
Pm: 0.500 0.750 0.965
Se: 0.000 0.604 0.255
Se: 0.000 0.396 0.755


# 3
Material: Tb2B
Method: DFT, PBE
State: relaxed

Summary:
Total magnetization (μB per atom): 0.00
Calculated total energy (eV/cell): -24.74

a = 7.850 Å, b = 7.850 Å, c = 7.850 Å
α = 60.00°, β = 60.00°, γ = 60.00°
Atoms (fractional coordinates):
B: 0.250 0.250 0.250
B: 0.500 0.500 0.500
Tb: 0.375 0.875 0.375
Tb: 0.875 0.375 0.375
Tb: 0.375 0.375 0.375
Tb: 0.375 0.375 0.875


# 4
Material: NdAuSeO
Method: DFT, PBE
State: relaxed

Summary:
Total magnetization (μB per atom): 0.00
Calculated total energy (eV/cell): -95.90

a = 4.107 Å, b = 4.107 Å, c = 19.135 Å
α = 90.00°, β = 90.00°, γ = 90.11°
Atoms (fractional coordinates):
Au: 0.716 0.280 0.250
Au: 0.216 0.780 0.250
Au: 0.220 0.784 0.750
Au: 0.720 0.284 0.750
Nd: 0.465 0.035 0.061
Nd: 0.965 0.535 0.439
Nd: 0.465 0.035 0.561
Nd: 0.965 0.535 0.939
O: 0.965 0.035 0.000
O: 0.465 0.535 0.000
O: 0.965 0.035 0.500
O: 0.465 0.535 0.500
Se: 0.964 0.533 0.142
Se: 0.464 0.033 0.358
Se: 0.967 0.536 0.642
Se: 0.467 0.036 0.858